Entry 1:
VASP calculation (PBE-GGA) on a geometry-optimized BaMoAu2 structure.

## Properties
energy above the lowest structure with this stoichiometry	402	meV per atom
DFT formation energy	45.26	kJ per mole of atoms

```
BaMoAu2
1.0
-1.821 2.583 5.227
1.821 -2.583 5.227
1.821 2.583 -5.227
Ba Mo Au
1 1 2
Cartesian
0.000 0.000 0.000 Ba
1.821 0.000 2.971 Mo
0.000 0.000 5.235 Au
0.000 2.583 2.400 Au
```

Entry 2:
VASP calculation (PBE-GGA) on a geometry-optimized YTcC structure.

## Properties
energy above the lowest structure with this stoichiometry	0	meV per atom
DFT formation energy	-17.85	kJ per mole of atoms

```
YTcC
1.0
5.591 0.000 0.000
0.000 3.532 0.000
0.000 0.000 5.190
Y Tc C
2 2 2
Cartesian
1.398 0.000 1.268 Y
4.193 0.000 3.922 Y
1.398 1.766 3.891 Tc
4.193 1.766 1.299 Tc
0.000 1.766 0.000 C
2.796 1.766 0.000 C
```

Entry 3:
VASP calculation (PBE-GGA) on a geometry-optimized Ho4PdRh structure.

## Properties
energy above the lowest structure with this stoichiometry	136	meV per atom
DFT formation energy	-48.73	kJ per mole of atoms

```
Ho4PdRh
1.0
-4.651 4.651 4.080
4.651 -4.651 4.080
4.651 4.651 -4.080
Ho Pd Rh
8 2 2
Cartesian
0.000 1.855 0.000 Ho
2.756 0.000 1.937 Ho
6.545 0.000 1.937 Ho
4.651 2.756 -0.103 Ho
0.000 1.895 3.976 Ho
-1.855 4.651 2.040 Ho
1.855 4.651 2.040 Ho
0.000 7.446 0.000 Ho
4.651 0.000 4.019 Pd
0.000 0.000 6.059 Pd
0.000 0.000 1.995 Rh
0.000 4.651 4.034 Rh
```

Entry 4:
VASP calculation (PBE-GGA) on a geometry-optimized AcTlTe2 structure.

## Properties
ΔE_f (raw)	-1.12	eV per atom
energy above the lowest structure with this stoichiometry	26	meV per atom

```
AcTlTe2
1.0
2.396 1.383 8.345
-2.396 1.383 8.345
0.000 -2.767 8.345
Ac Tl Te
1 1 2
Cartesian
0.000 0.000 0.000 Ac
0.000 0.000 20.767 Tl
0.000 0.000 10.250 Te
0.000 0.000 14.835 Te
```

Number 1: magnetization 3.6 μB/cell. Number 2: magnetization 0.0 μB/cell. Number 3: magnetization 0.0 μB/cell. Number 4: magnetization 0.0 μB/cell.